(1)
Here is a relaxed structure of Ni6MoPt from Alexandria via LeMat-Bulk. Energies are from GGA-PBEsol.

Cell lengths 6.2058, 6.2058, 10.1478 Å; angles 90.00, 90.00, 109.43 degrees
Atoms (fractional coordinates):
Pt: 0.7507 0.2493 0.5000
Ni: 0.6215 0.8731 0.8781
Pt: 0.0000 0.0000 0.2519
Ni: 0.1269 0.3785 0.8781
Ni: 0.8685 0.6205 0.3718
Ni: 0.3785 0.1269 0.1219
Pt: 0.0000 0.0000 0.7481
Ni: 0.3795 0.1315 0.3718
Ni: 0.5000 0.5000 0.0000
Ni: 0.1315 0.3795 0.3718
Ni: 0.0000 0.0000 0.5000
Mo: 0.5000 0.5000 0.2551
Ni: 0.1269 0.3785 0.1219
Ni: 0.0000 0.0000 0.0000
Ni: 0.1315 0.3795 0.6282
Ni: 0.8731 0.6215 0.8781
Mo: 0.7464 0.2536 0.0000
Ni: 0.8731 0.6215 0.1219
Ni: 0.3785 0.1269 0.8781
Mo: 0.5000 0.5000 0.7449
Ni: 0.8685 0.6205 0.6282
Ni: 0.7476 0.2524 0.7558
Ni: 0.2524 0.7476 0.7558
Pt: 0.2493 0.7507 0.5000
Ni: 0.2524 0.7476 0.2442
Ni: 0.3795 0.1315 0.6282
Ni: 0.6205 0.8685 0.6282
Ni: 0.6205 0.8685 0.3718
Ni: 0.5000 0.5000 0.5000
Mo: 0.2536 0.7464 0.0000
Ni: 0.6215 0.8731 0.1219
Ni: 0.7476 0.2524 0.2442

Values from the calculation:
As for the space-group type: Cmmm. For the calculated density, the calculation gives 11.591 g cm⁻³. For the raw total energy, the calculation gives -224.6 eV for the cell shown. The calculation puts the density of states at the Fermi level at 35.07 states/eV/cell.

=====

(2)
Here is a relaxed structure of NiMo2Pt from Alexandria via LeMat-Bulk. Energies are from GGA-PBEsol.

Cell lengths 3.8679, 3.8679, 4.6353 Å; angles 114.66, 114.66, 90.00 degrees
Atoms (fractional coordinates):
Mo: 0.5000 0.5000 0.0000
Pt: 0.2500 0.7500 0.5000
Mo: 0.7500 0.2500 0.5000
Ni: 0.0000 0.0000 0.0000

Values from the calculation:
As for the space-group type: I-4m2. For the calculated density, the calculation gives 13.218 g cm⁻³. For the energy relative to the lowest polymorph listed for this composition, the calculation gives 142 meV/atom. For the raw total energy, the calculation gives -36.8 eV for the cell shown. The calculation puts the density of states at the Fermi level at 5.58 states/eV/cell.